Material: TbB2C2
Method: DFT, PBE-GGA
State: optimized geometry

abc: 5.360 5.360 3.595
angles: 90.00 90.00 90.00
Atoms (fractional coordinates):
Tb  0.000  0.000  0.000
Tb  0.500  0.500  0.000
B  0.137  0.363  0.500
B  0.363  0.863  0.500
B  0.637  0.137  0.500
B  0.863  0.637  0.500
C  0.162  0.662  0.500
C  0.338  0.162  0.500
C  0.662  0.838  0.500
C  0.838  0.338  0.500

Uncorrected energy (Ry per atom): -0.56875
SG: No. 127



Material: TbB2C2
Method: DFT, PBE-GGA
State: optimized geometry

abc: 3.566 3.566 5.923
angles: 90.00 90.00 120.00
Atoms (fractional coordinates):
Tb  0.000  0.000  0.000
B  0.333  0.667  0.465
B  0.667  0.333  0.535
C  0.333  0.667  0.224
C  0.667  0.333  0.776

Uncorrected energy (Ry per atom): -0.47125
SG: No. 164



Material: TbB3C2
Method: DFT, PBE-GGA
State: optimized geometry

abc: 5.797 5.797 7.394
angles: 117.59 117.59 28.68
Atoms (fractional coordinates):
Tb  0.137  0.137  0.033
Tb  0.863  0.863  0.967
B  0.111  0.111  0.413
B  0.281  0.281  0.606
B  0.390  0.390  0.278
B  0.610  0.610  0.722
B  0.719  0.719  0.394
B  0.889  0.889  0.587
C  0.160  0.160  0.671
C  0.455  0.455  0.714
C  0.545  0.545  0.286
C  0.840  0.840  0.329

Uncorrected energy (Ry per atom): -0.51799
SG: No. 12